# 1
Dy8Ho3Pu2 | PBE-GGA | optimized geometry

- VASP energy (eV/atom) = -5.805
- N(E_F) (states/eV per cell) = 30.14
- mass density (Mg/m³) = 9.09

a b c (Å): 5.630 7.426 10.643
angles (deg): 110.42 90.00 90.00
Element x y z (fractional)
Ho  0.500  0.000  0.000
Ho  0.000  0.277  0.000
Ho  0.000  0.723  0.000
Pu  0.500  0.242  0.483
Pu  0.500  0.758  0.517
Dy  0.000  0.676  0.353
Dy  0.000  0.861  0.721
Dy  0.500  0.172  0.777
Dy  0.500  0.828  0.223
Dy  0.500  0.396  0.223
Dy  0.000  0.139  0.279
Dy  0.000  0.324  0.647
Dy  0.500  0.604  0.777


# 2
K3NdDy2Te6 | PBE-GGA | optimized geometry

- VASP energy (eV/atom) = -4.412
- mass density (Mg/m³) = 5.09

a b c (Å): 7.858 7.858 8.656
angles (deg): 98.70 98.70 120.01
Element x y z (fractional)
Te  0.411  0.070  0.211
Te  0.930  0.589  0.789
Te  0.070  0.411  0.211
Te  0.271  0.271  0.790
Te  0.589  0.930  0.789
Te  0.729  0.729  0.210
Nd  0.000  0.000  0.000
K  0.165  0.835  0.500
K  0.500  0.500  0.500
K  0.835  0.165  0.500
Dy  0.667  0.333  0.000
Dy  0.333  0.667  0.000


# 3
Pr3Tm4Sn4 | PBE-GGA | optimized geometry

- VASP energy (eV/atom) = -4.945
- N(E_F) (states/eV per cell) = 10.83
- mass density (Mg/m³) = 7.76

a b c (Å): 4.337 9.290 9.804
angles (deg): 118.28 102.78 90.00
Element x y z (fractional)
Tm  0.672  0.868  0.344
Tm  0.328  0.523  0.656
Tm  0.672  0.477  0.344
Tm  0.328  0.132  0.656
Pr  0.000  0.500  0.000
Pr  0.891  0.891  0.781
Pr  0.109  0.109  0.219
Sn  0.758  0.258  0.517
Sn  0.500  0.212  0.000
Sn  0.500  0.788  0.000
Sn  0.242  0.742  0.483


# 4
CeHo3In2 | PBE-GGA | optimized geometry

- VASP energy (eV/atom) = -4.433
- N(E_F) (states/eV per cell) = 18.15
- mass density (Mg/m³) = 8.67

a b c (Å): 4.851 8.948 9.169
angles (deg): 119.20 105.34 90.00
Element x y z (fractional)
Ho  0.500  0.250  0.000
Ho  0.500  0.750  0.000
Ho  0.828  0.078  0.656
Ho  0.172  0.422  0.344
Ho  0.828  0.578  0.656
Ho  0.172  0.922  0.344
Ce  0.000  0.500  0.000
Ce  0.000  0.000  0.000
In  0.659  0.659  0.319
In  0.340  0.841  0.681
In  0.341  0.341  0.681
In  0.660  0.159  0.319


| no. | volume (Å³ per atom) | magnetization (μB/atom) |
| --- | --- | --- |
| 1 | 32.08 | 1.088 |
| 2 | 36.76 | 0.000 |
| 3 | 30.61 | 0.222 |
| 4 | 27.59 | 0.098 |